# HoSi2OsAu

HoSi2OsAu after structural relaxation (PBE-GGA, the Open Quantum Materials Database).

Cell lengths 5.9001, 5.9001, 5.9001 Å; angles 139.47, 139.47, 58.66 degrees
Atoms (fractional coordinates):
Ho 0.0000 0.0000 0.0000
Si 0.3869 0.3869 0.0000
Si 0.6131 0.6131 0.0000
Os 0.7500 0.2500 0.5000
Au 0.2500 0.7500 0.5000

The calculated total energy is -0.23895 hartree per atom.